Record 1
12
Lattice="2.8479 0.0000 0.0000 -1.4239 2.4663 0.0000 0.0000 0.0000 26.7742" Properties=species:S:1:pos:R:3 comment="PBE-GGA MgMn2Al, optimized geometry" ef_mev_per_atom=192 sg=R-3m pbc="T T T"
Mg 0.0000 0.0000 0.0000
Mg 0.0000 1.6442 17.8495
Mg 1.4239 0.8221 8.9247
Mn 0.0000 0.0000 6.5627
Mn 0.0000 0.0000 20.2115
Mn 0.0000 1.6442 11.2868
Mn 0.0000 1.6442 24.4122
Mn 1.4239 0.8221 2.3620
Mn 1.4239 0.8221 15.4875
Al 0.0000 0.0000 13.3871
Al 0.0000 1.6442 4.4624
Al 1.4239 0.8221 22.3119

Record 2
8
Lattice="8.9260 0.0000 0.0000 0.0000 2.7779 0.0000 -0.6676 0.0000 5.0916" Properties=species:S:1:pos:R:3 comment="PBE-GGA MgMn2Al, optimized geometry" ef_mev_per_atom=183 sg=C2/m pbc="T T T"
Mg 0.0000 0.0000 0.0000
Mg 4.4630 1.3889 0.0000
Mn 1.6785 0.0000 3.7019
Mn 2.1169 1.3889 1.3897
Mn 6.1415 1.3889 3.7019
Mn 6.5799 0.0000 1.3897
Al -0.3338 1.3889 2.5458
Al 4.1292 0.0000 2.5458

Record 3
4
Lattice="2.9784 0.0000 0.0000 0.0000 4.1930 0.0000 -0.2607 0.0000 5.7542" Properties=species:S:1:pos:R:3 comment="PBE-GGA Mg2MnAl, optimized geometry" ef_mev_per_atom=144 sg=P2/m pbc="T T T"
Mg -0.0610 0.0000 1.3958
Mg 2.7787 0.0000 4.3584
Mn 1.4892 2.0965 0.0000
Al 1.3588 2.0965 2.8771

Record 4
29
Lattice="-5.2441 5.2441 5.2441 5.2441 -5.2441 5.2441 5.2441 5.2441 -5.2441" Properties=species:S:1:pos:R:3 comment="PBE-GGA Mg16MnAl12, optimized geometry" ef_mev_per_atom=0 sg=I-43m polymorph_energy_mev_per_atom=16 pbc="T T T"
Mg 3.4802 3.4802 -3.4802
Mg 5.6880 1.4995 -1.4995
Mg 3.4802 -3.4802 3.4802
Mg 5.6880 -1.4995 1.4995
Mg 4.8001 1.4995 1.4995
Mg 3.7446 3.7446 -0.4440
Mg 3.7446 -0.4440 3.7446
Mg 1.7638 1.7638 1.7638
Mg 1.4995 5.6880 -1.4995
Mg 1.4995 -1.4995 5.6880
Mg 1.4995 4.8001 1.4995
Mg 1.4995 1.4995 4.8001
Mg -3.4802 3.4802 3.4802
Mg -1.4995 5.6880 1.4995
Mg -1.4995 1.4995 5.6880
Mg -0.4440 3.7446 3.7446
Mn 0.0000 0.0000 0.0000
Al 2.8768 0.9449 -0.9449
Al 2.8768 -0.9449 0.9449
Al 7.6114 0.9449 0.9449
Al 0.9449 2.8768 -0.9449
Al 0.9449 -0.9449 2.8768
Al -0.9449 2.8768 0.9449
Al -0.9449 0.9449 2.8768
Al 4.2991 4.2991 2.3673
Al 4.2991 2.3673 4.2991
Al 0.9449 7.6114 0.9449
Al 0.9449 0.9449 7.6114
Al 2.3673 4.2991 4.2991

Record 5
12
Lattice="6.2690 0.0000 0.0000 0.0000 6.2690 0.0000 0.0000 0.0000 6.2690" Properties=species:S:1:pos:R:3 comment="PBE-GGA MgMnAl, optimized geometry" ef_mev_per_atom=375 sg=F-43m pbc="T T T"
Mg 0.0000 0.0000 0.0000
Mg 0.0000 3.1345 3.1345
Mg 3.1345 0.0000 3.1345
Mg 3.1345 3.1345 0.0000
Mn 0.0000 0.0000 3.1345
Mn 0.0000 3.1345 0.0000
Mn 3.1345 0.0000 0.0000
Mn 3.1345 3.1345 3.1345
Al 1.5672 1.5672 4.7017
Al 1.5672 4.7017 1.5672
Al 4.7017 1.5672 1.5672
Al 4.7017 4.7017 4.7017

Record 6
4
Lattice="2.9681 0.0000 0.0000 0.0000 2.9681 0.0000 0.0000 0.0000 8.0895" Properties=species:S:1:pos:R:3 comment="PBE-GGA Mg2MnAl, optimized geometry" ef_mev_per_atom=30 sg=P4mm pbc="T T T"
Mg 0.0000 0.0000 0.0000
Mg 1.4840 1.4840 2.4728
Mn 0.0000 0.0000 4.3986
Al 1.4840 1.4840 5.9379

Record 7
8
Lattice="10.5567 0.0000 0.0000 0.0000 3.1693 0.0000 -1.9233 0.0000 4.1365" Properties=species:S:1:pos:R:3 comment="PBE-GGA Mg2MnAl, optimized geometry" ef_mev_per_atom=120 sg=C2/m pbc="T T T"
Mg 2.0407 0.0000 0.9779
Mg 1.3143 1.5847 3.1586
Mg 7.3191 1.5847 0.9779
Mg 6.5927 0.0000 3.1586
Mn 0.0000 1.5847 0.0000
Mn 5.2783 0.0000 0.0000
Al -0.9617 0.0000 2.0683
Al 4.3167 1.5847 2.0683

Record 8
4
Lattice="2.8249 0.0000 0.0000 0.0000 2.8249 0.0000 0.0000 0.0000 7.4262" Properties=species:S:1:pos:R:3 comment="PBE-GGA MgMn2Al, optimized geometry" ef_mev_per_atom=34 sg=P4/mmm pbc="T T T"
Mg 0.0000 0.0000 0.0000
Mn 1.4124 1.4124 2.0337
Mn 1.4124 1.4124 5.3926
Al 0.0000 0.0000 3.7131

So what do the calculations give for raw total energy? Going down the list: -68.7 -45.9 -15.5 -79.6 -53.5 -16.0 -31.2 -23.5 eV per cell.
So what do the calculations give for ρ? Going down the list: 4269 4240 3016 2210 2864 3041 3132 4516 kg/m³.